VASP calculation (PBE-GGA) on crystalline Np2PdS4 at its relaxed geometry.

Calculated values
Total DFT energy (no corrections) ... -7.82 eV/atom
Magnetic moment ... 1.02 μB/atom
Space group ... No. 55
Crystal system ... orthorhombic
Fermi-level density of states ... 33.73 states/eV per cell

Unit cell a=6.8519 b=10.4254 c=4.0403 alpha=90.00 beta=90.00 gamma=90.00
Fractional positions:
Np (0.1242, 0.1817, 0.0000)
Np (0.3758, 0.6817, 0.0000)
Np (0.6242, 0.3183, 0.0000)
Np (0.8758, 0.8183, 0.0000)
Pd (0.0000, 0.5000, 0.5000)
Pd (0.5000, 0.0000, 0.5000)
S (0.1047, 0.7175, 0.5000)
S (0.2383, 0.9400, 0.0000)
S (0.2617, 0.4400, 0.0000)
S (0.3953, 0.2175, 0.5000)
S (0.6047, 0.7825, 0.5000)
S (0.7383, 0.5600, 0.0000)
S (0.7617, 0.0600, 0.0000)
S (0.8953, 0.2825, 0.5000)